# 1
Crystalline Li5Mn3Cl12 at its relaxed geometry, computed with PBE-GGA.

Crystal system   cubic
Uncorrected formation energy   -115 kJ per mole of atoms
SG   Ia-3d, No. 230

abc: 12.8065 12.8065 12.8065
angles: 109.47 109.47 109.47
Last column: nearest neighbours and their distance in Å.
Fractional coordinates of all 80 atoms:
Cl  0.3206  0.5427  0.4167  2 Li 2.29-2.51
Cl  0.2221  0.6794  0.0961  2 Li 2.29-2.51
Li  0.0000  0.0000  0.5000  6 Cl 2.51
Li  0.1250  0.3750  0.2500  4 Cl 2.29
Cl  0.6794  0.4573  0.5833  2 Li 2.29-2.51
Li  0.3750  0.2500  0.1250  4 Cl 2.29
Cl  0.0961  0.9167  0.3740  2 Li 2.29-2.51
Li  0.5000  0.0000  0.0000  6 Cl 2.51
Cl  0.5427  0.3206  0.9167  2 Li 2.29-2.51
Cl  0.7779  0.3206  0.9039  2 Li 2.29-2.51
Cl  0.1260  0.7221  0.5427  2 Li 2.29-2.51
Cl  0.2779  0.4039  0.8206  2 Li 2.29-2.51
Cl  0.4573  0.6794  0.0833  2 Li 2.29-2.51
Li  0.7500  0.6250  0.3750  4 Cl 2.29
Cl  0.2779  0.8740  0.9573  2 Li 2.29-2.51
Cl  0.4167  0.3740  0.5961  2 Li 2.29-2.51
Li  0.5000  0.5000  0.0000  6 Cl 2.51
Li  0.1250  0.7500  0.3750  4 Cl 2.29
Cl  0.8206  0.9039  0.2779  2 Li 2.29-2.51
Mn  0.7500  0.3750  0.1250  8 Cl 2.73-2.86
Li  0.2500  0.8750  0.1250  4 Cl 2.29
Li  0.5000  0.5000  0.5000  6 Cl 2.51
Cl  0.3740  0.9573  0.7779  2 Li 2.29-2.51
Cl  0.9167  0.0961  0.8740  2 Li 2.29-2.51
Mn  0.3750  0.7500  0.6250  8 Cl 2.73-2.86
Cl  0.7779  0.4573  0.3740  2 Li 2.29-2.51
Li  0.3750  0.1250  0.7500  4 Cl 2.29
Mn  0.8750  0.1250  0.2500  8 Cl 2.73-2.86
Li  0.2500  0.3750  0.6250  4 Cl 2.29
Li  0.7500  0.1250  0.8750  4 Cl 2.29
Cl  0.3206  0.7779  0.4039  2 Li 2.29-2.51
Cl  0.1260  0.4039  0.0833  2 Li 2.29-2.51
Cl  0.9167  0.8206  0.5427  2 Li 2.29-2.51
Cl  0.4167  0.0427  0.3206  2 Li 2.29-2.51
Li  0.0000  0.0000  0.0000  6 Cl 2.51
Cl  0.2221  0.5427  0.6260  2 Li 2.29-2.51
Cl  0.6794  0.2221  0.5961  2 Li 2.29-2.51
Cl  0.8740  0.2779  0.4573  2 Li 2.29-2.51
Mn  0.3750  0.6250  0.2500  8 Cl 2.73-2.86
Cl  0.4573  0.7779  0.8740  2 Li 2.29-2.51
Mn  0.8750  0.7500  0.1250  8 Cl 2.73-2.86
Cl  0.5833  0.9573  0.6794  2 Li 2.29-2.51
Cl  0.4039  0.1260  0.5833  2 Li 2.29-2.51
Cl  0.9039  0.8206  0.7779  2 Li 2.29-2.51
Cl  0.8206  0.9167  0.0427  2 Li 2.29-2.51
Mn  0.6250  0.2500  0.3750  8 Cl 2.73-2.86
Mn  0.1250  0.8750  0.7500  8 Cl 2.73-2.86
Cl  0.5833  0.6260  0.4039  2 Li 2.29-2.51
Mn  0.2500  0.6250  0.8750  8 Cl 2.73-2.86
Cl  0.9039  0.0833  0.6260  2 Li 2.29-2.51
Mn  0.7500  0.8750  0.6250  8 Cl 2.73-2.86
Cl  0.1794  0.0961  0.7221  2 Li 2.29-2.51
Cl  0.6260  0.5833  0.9039  2 Li 2.29-2.51
Cl  0.0833  0.1794  0.4573  2 Li 2.29-2.51
Li  0.6250  0.8750  0.2500  4 Cl 2.29
Li  0.5000  0.0000  0.5000  6 Cl 2.51
Cl  0.8740  0.5961  0.9167  2 Li 2.29-2.51
Cl  0.9573  0.5833  0.1794  2 Li 2.29-2.51
Cl  0.0427  0.4167  0.8206  2 Li 2.29-2.51
Mn  0.6250  0.3750  0.7500  8 Cl 2.73-2.86
Cl  0.7221  0.1260  0.0427  2 Li 2.29-2.51
Cl  0.5427  0.2221  0.1260  2 Li 2.29-2.51
Cl  0.3740  0.4167  0.0961  2 Li 2.29-2.51
Cl  0.9573  0.3740  0.2779  2 Li 2.29-2.51
Cl  0.0961  0.1794  0.2221  2 Li 2.29-2.51
Cl  0.0833  0.9039  0.1260  2 Li 2.29-2.51
Cl  0.6260  0.0427  0.2221  2 Li 2.29-2.51
Cl  0.1794  0.0833  0.9573  2 Li 2.29-2.51
Cl  0.7221  0.5961  0.1794  2 Li 2.29-2.51
Li  0.6250  0.7500  0.8750  4 Cl 2.29
Mn  0.1250  0.2500  0.8750  8 Cl 2.73-2.86
Cl  0.0427  0.6260  0.7221  2 Li 2.29-2.51
Li  0.0000  0.5000  0.0000  6 Cl 2.51
Li  0.0000  0.5000  0.5000  6 Cl 2.51
Mn  0.2500  0.1250  0.3750  8 Cl 2.73-2.86
Li  0.8750  0.2500  0.6250  4 Cl 2.29
Cl  0.4039  0.2779  0.3206  2 Li 2.29-2.51
Cl  0.5961  0.7221  0.6794  2 Li 2.29-2.51
Li  0.8750  0.6250  0.7500  4 Cl 2.29
Cl  0.5961  0.8740  0.4167  2 Li 2.29-2.51



# 2
Crystalline AlRh2Pb at its relaxed geometry, computed with PBE-GGA.

Crystal system   orthorhombic
DFT formation energy   -0.949 eV/f.u.
SG   Pmm2, No. 25

abc: 3.0675 3.8889 5.8614
angles: 90.00 90.00 90.00
Last column: nearest neighbours and their distance in Å.
Fractional coordinates of all 4 atoms:
Rh  0.5000  0.5000  0.3084  4 Al 2.55, 1 Pb 2.80
Pb  0.5000  0.5000  0.7866  6 Rh 2.75-3.06, 2 Pb 3.07
Rh  0.0000  0.0000  0.9919  1 Al 2.47, 4 Pb 2.75
Al  0.0000  0.0000  0.4130  5 Rh 2.47-2.55



# 3
Crystalline Ba5Na2Sr4 at its relaxed geometry, computed with PBE-GGA.

Crystal system   orthorhombic
DFT formation energy   0.154 eV/f.u.
SG   Pbam, No. 55

abc: 4.6454 10.9599 24.3592
angles: 90.00 90.00 90.00
Last column: nearest neighbours and their distance in Å.
Fractional coordinates of all 22 atoms:
Sr  0.5000  0.0778  0.3517  1 Na 3.98, 4 Ba 4.38
Ba  0.0000  0.1254  0.9249  2 Na 3.89, 4 Sr 4.30-4.34
Ba  0.0000  0.0000  0.5000  8 Sr 4.28-4.38, 4 Ba 4.49-4.65
Ba  0.0000  0.5000  0.0000  8 Sr 4.28-4.38, 4 Ba 4.49-4.65
Ba  0.0000  0.7647  0.2830  4 Na 3.90-3.98, 2 Sr 4.34
Ba  0.0000  0.8746  0.0751  2 Na 3.89, 4 Sr 4.30-4.34
Ba  0.0000  0.2647  0.2170  4 Na 3.90-3.98, 2 Sr 4.34
Na  0.5000  0.4743  0.3048  6 Ba 3.89-3.98, 2 Sr 3.98-4.02
Na  0.5000  0.0257  0.8048  6 Ba 3.89-3.98, 2 Sr 3.98-4.02
Sr  0.5000  0.7091  0.4315  1 Na 4.02, 8 Ba 4.28-4.34, 1 Sr 4.49
Ba  0.0000  0.6254  0.5751  2 Na 3.89, 4 Sr 4.30-4.34
Sr  0.5000  0.2091  0.0685  1 Na 4.02, 8 Ba 4.28-4.34, 1 Sr 4.49
Ba  0.0000  0.3746  0.4249  2 Na 3.89, 4 Sr 4.30-4.34
Na  0.5000  0.9743  0.1952  6 Ba 3.89-3.98, 2 Sr 3.98-4.02
Sr  0.5000  0.4222  0.8517  1 Na 3.98, 4 Ba 4.38
Ba  0.0000  0.7353  0.7830  4 Na 3.90-3.98, 2 Sr 4.34
Sr  0.5000  0.5778  0.1483  1 Na 3.98, 4 Ba 4.38
Na  0.5000  0.5257  0.6952  6 Ba 3.89-3.98, 2 Sr 3.98-4.02
Ba  0.0000  0.2353  0.7170  4 Na 3.90-3.98, 2 Sr 4.34
Sr  0.5000  0.7909  0.9315  1 Na 4.02, 8 Ba 4.28-4.34, 1 Sr 4.49
Sr  0.5000  0.2909  0.5685  1 Na 4.02, 8 Ba 4.28-4.34, 1 Sr 4.49
Sr  0.5000  0.9222  0.6483  1 Na 3.98, 4 Ba 4.38



# 4
Crystalline Sm6Er12Mg at its relaxed geometry, computed with PBE-GGA.

Crystal system   trigonal
DFT formation energy   2.516 eV/f.u.
SG   R-3, No. 148

abc: 8.4570 8.4570 8.4570
angles: 88.78 88.78 88.78
Last column: nearest neighbours and their distance in Å.
Fractional coordinates of all 19 atoms:
Er  0.2225  0.4613  0.5630  6 Er 3.26-3.58, 3 Sm 3.30-3.39
Er  0.8094  0.6392  0.9863  4 Sm 3.43-3.64, 4 Er 3.43-3.58, 1 Mg 3.49
Er  0.0137  0.1906  0.3608  4 Sm 3.43-3.64, 4 Er 3.43-3.58, 1 Mg 3.49
Sm  0.7391  0.9067  0.3024  7 Er 3.30-3.64, 1 Mg 3.43, 2 Sm 3.46
Er  0.5630  0.2225  0.4613  6 Er 3.26-3.58, 3 Sm 3.30-3.39
Er  0.4613  0.5630  0.2225  6 Er 3.26-3.58, 3 Sm 3.30-3.39
Er  0.1906  0.3608  0.0137  4 Sm 3.43-3.64, 4 Er 3.43-3.58, 1 Mg 3.49
Er  0.7775  0.5387  0.4370  6 Er 3.26-3.58, 3 Sm 3.30-3.39
Er  0.6392  0.9863  0.8094  4 Sm 3.43-3.64, 4 Er 3.43-3.58, 1 Mg 3.49
Sm  0.0933  0.6976  0.2609  7 Er 3.30-3.64, 1 Mg 3.43, 2 Sm 3.46
Er  0.4370  0.7775  0.5387  6 Er 3.26-3.58, 3 Sm 3.30-3.39
Sm  0.2609  0.0933  0.6976  7 Er 3.30-3.64, 1 Mg 3.43, 2 Sm 3.46
Sm  0.6976  0.2609  0.0933  7 Er 3.30-3.64, 1 Mg 3.43, 2 Sm 3.46
Mg  0.0000  0.0000  0.0000  6 Sm 3.43, 6 Er 3.49
Er  0.3608  0.0137  0.1906  4 Sm 3.43-3.64, 4 Er 3.43-3.58, 1 Mg 3.49
Sm  0.3024  0.7391  0.9067  7 Er 3.30-3.64, 1 Mg 3.43, 2 Sm 3.46
Er  0.9863  0.8094  0.6392  4 Sm 3.43-3.64, 4 Er 3.43-3.58, 1 Mg 3.49
Sm  0.9067  0.3024  0.7391  7 Er 3.30-3.64, 1 Mg 3.43, 2 Sm 3.46
Er  0.5387  0.4370  0.7775  6 Er 3.26-3.58, 3 Sm 3.30-3.39



# 5
Crystalline PmSm2CuTe5 at its relaxed geometry, computed with PBE-GGA.

Crystal system   orthorhombic
Uncorrected formation energy   -113 kJ per mole of atoms
SG   Cmc2_1, No. 36

abc: 4.3001 9.8472 13.0146
angles: 90.00 90.00 102.61
Last column: nearest neighbours and their distance in Å.
Fractional coordinates of all 18 atoms:
Pm  0.8089  0.6179  0.5093  6 Te 2.99-3.20, 2 Cu 3.24
Te  0.6425  0.2849  0.4990  1 Pm 3.20, 4 Sm 3.29-3.33
Te  0.5003  0.0007  0.2857  1 Cu 2.62
Sm  0.1079  0.2158  0.6836  8 Te 3.23-3.45
Pm  0.1911  0.3821  0.0093  6 Te 2.99-3.20, 2 Cu 3.24
Cu  0.5699  0.1398  0.9582  4 Te 2.62-2.67
Te  0.2874  0.5749  0.6794  2 Pm 3.11, 3 Sm 3.22-3.45
Te  0.0399  0.0798  0.0649  2 Cu 2.62
Sm  0.1219  0.2437  0.3063  7 Te 3.19-3.51
Te  0.9601  0.9202  0.5649  2 Cu 2.62
Te  0.4997  0.9993  0.7857  1 Cu 2.62
Sm  0.8781  0.7563  0.8063  7 Te 3.19-3.51
Te  0.7126  0.4251  0.1794  2 Pm 3.11, 3 Sm 3.22-3.45
Cu  0.4301  0.8602  0.4582  4 Te 2.62-2.67
Te  0.3175  0.6350  0.3376  1 Cu 2.67
Sm  0.8921  0.7842  0.1836  8 Te 3.23-3.45
Te  0.3575  0.7151  0.9990  1 Pm 3.20, 4 Sm 3.29-3.33
Te  0.6825  0.3650  0.8376  1 Cu 2.67



# 6
Crystalline KFeI5 at its relaxed geometry, computed with PBE-GGA.

Crystal system   monoclinic
Uncorrected formation energy   -44 kJ per mole of atoms
SG   C2/c, No. 15

abc: 8.0064 8.0064 12.4868
angles: 107.48 107.48 98.30
Last column: nearest neighbours and their distance in Å.
Fractional coordinates of all 14 atoms:
K  0.0000  0.0000  0.5000  4 I 3.44-3.80
I  0.1796  0.8204  0.7500  2 I 3.32
I  0.6435  0.6425  0.9355  1 Fe 2.54
I  0.3565  0.3575  0.0645  1 Fe 2.54
I  0.9146  0.4319  0.7120  1 Fe 2.55
Fe  0.3816  0.6184  0.2500  4 I 2.54-2.55
I  0.0854  0.5681  0.2880  1 Fe 2.55
I  0.4319  0.9146  0.2120  1 Fe 2.55
K  0.0000  0.0000  0.0000  4 I 3.44-3.80
Fe  0.6184  0.3816  0.7500  4 I 2.54-2.55
I  0.3575  0.3565  0.5645  1 Fe 2.54
I  0.8204  0.1796  0.2500  2 I 3.32
I  0.5681  0.0854  0.7880  1 Fe 2.55
I  0.6425  0.6435  0.4355  1 Fe 2.54



# 7
Crystalline Ca2TaRe at its relaxed geometry, computed with PBE-GGA.

Crystal system   cubic
DFT formation energy   2.719 eV/f.u.
SG   F-43m, No. 216

abc: 4.9074 4.9074 4.9074
angles: 120.03 120.03 89.95
Last column: nearest neighbours and their distance in Å.
Fractional coordinates of all 4 atoms:
Re  0.5000  0.5000  0.0000  4 Ta 3.00, 4 Ca 3.00
Ta  0.7500  0.2500  0.5000  4 Re 3.00, 4 Ca 3.00
Ca  0.2500  0.7500  0.5000  4 Re 3.00, 4 Ca 3.00
Ca  0.0000  0.0000  0.0000  4 Ca 3.00, 4 Ta 3.00



# 8
Crystalline La7Pm3Tm2 at its relaxed geometry, computed with PBE-GGA.

Crystal system   monoclinic
DFT formation energy   0.831 eV/f.u.
SG   P2/m, No. 10

abc: 3.5898 6.5666 18.4846
angles: 75.14 90.00 90.00
Last column: nearest neighbours and their distance in Å.
Fractional coordinates of all 12 atoms:
La  0.0000  0.4409  0.8304  2 Tm 3.57, 7 La 3.59-3.78, 3 Pm 3.65-3.72
La  0.0000  0.0000  0.0000  8 La 3.59-3.74, 4 Pm 3.74
Pm  0.5000  0.5000  0.0000  2 Pm 3.59, 10 La 3.72-3.75
La  0.5000  0.7697  0.4911  2 La 3.13-3.47, 1 Tm 3.38
La  0.5000  0.9499  0.8277  1 Tm 3.54, 8 La 3.59-3.78, 3 Pm 3.65-3.75
La  0.5000  0.0501  0.1723  1 Tm 3.54, 8 La 3.59-3.78, 3 Pm 3.65-3.75
Pm  0.0000  0.1191  0.3365  2 Pm 3.59, 7 La 3.65-3.89, 4 Tm 3.68-3.81
Pm  0.0000  0.8809  0.6635  2 Pm 3.59, 7 La 3.65-3.89, 4 Tm 3.68-3.81
La  0.5000  0.2303  0.5089  2 La 3.13-3.47, 1 Tm 3.38
Tm  0.5000  0.6124  0.3307  5 La 3.38-3.59, 2 Tm 3.59, 2 Pm 3.68
La  0.0000  0.5591  0.1696  2 Tm 3.57, 7 La 3.59-3.78, 3 Pm 3.65-3.72
Tm  0.5000  0.3876  0.6693  5 La 3.38-3.59, 2 Tm 3.59, 2 Pm 3.68